1.
Material: RbLaTe2I
Method: DFT, GGA-PBE
State: optimized geometry

Output
ΔE to the lowest computed polymorph: 1100 meV per atom
crystal system: tetragonal
formation energy without anion corrections: -0.015 eV/atom
space group: P4/mmm (123)
V: 226.7 Å³/cell

The structure in POSCAR format:
```
RbLaTe2I
1.0
6.094 0.000 0.000
0.000 6.094 0.000
0.000 0.000 6.105
Rb La Te I
1 1 2 1
direct
0.000 0.000 0.000 Rb
0.500 0.500 0.500 La
0.000 0.500 0.000 Te
0.500 0.000 0.000 Te
0.000 0.000 0.500 I
```

2.
Material: NaLiSn6
Method: DFT, GGA-PBE
State: optimized geometry

Output
crystal system: tetragonal
formation energy: -0.128 eV/atom
space group: P4/mmm (123)
V: 205.9 Å³/cell

The structure in POSCAR format:
```
NaLiSn6
1.0
4.689 0.000 0.000
0.000 4.689 0.000
0.000 0.000 9.365
Na Li Sn
1 1 6
direct
0.000 0.000 0.000 Na
0.000 0.000 0.500 Li
0.000 0.500 0.257 Sn
0.000 0.500 0.743 Sn
0.500 0.000 0.257 Sn
0.500 0.000 0.743 Sn
0.500 0.500 0.000 Sn
0.500 0.500 0.500 Sn
```

3.
Material: Ac3Ge2PbAu6
Method: DFT, GGA-PBE
State: optimized geometry

Output
crystal system: trigonal
formation energy: -0.469 eV/atom
space group: P-3m1 (164)
V: 324.5 Å³/cell

The structure in POSCAR format:
```
Ac3Ge2PbAu6
1.0
6.627 0.000 0.000
-3.313 5.739 0.000
0.000 0.000 8.532
Ac Ge Pb Au
3 2 1 6
direct
0.000 0.000 0.000 Ac
0.333 0.667 0.650 Ac
0.667 0.333 0.350 Ac
0.333 0.667 0.043 Ge
0.667 0.333 0.957 Ge
0.000 0.000 0.500 Pb
0.185 0.370 0.275 Au
0.185 0.815 0.275 Au
0.370 0.185 0.725 Au
0.630 0.815 0.275 Au
0.815 0.185 0.725 Au
0.815 0.630 0.725 Au
```

4.
Material: Pm2BPt6Au
Method: DFT, GGA-PBE
State: optimized geometry

Output
crystal system: trigonal
formation energy: -0.774 eV/atom
space group: R-3m (166)
V: 378.3 Å³/cell

The structure in POSCAR format:
```
Pm2BPt6Au
1.0
2.832 1.635 13.618
-2.832 1.635 13.618
0.000 -3.270 13.618
Pm B Pt Au
4 2 12 2
direct
0.107 0.107 0.107 Pm
0.275 0.275 0.275 Pm
0.725 0.725 0.725 Pm
0.893 0.893 0.893 Pm
0.000 0.000 0.000 B
0.500 0.500 0.500 B
0.116 0.647 0.647 Pt
0.202 0.202 0.688 Pt
0.202 0.688 0.202 Pt
0.312 0.798 0.798 Pt
0.353 0.353 0.884 Pt
0.353 0.884 0.353 Pt
0.647 0.116 0.647 Pt
0.647 0.647 0.116 Pt
0.688 0.202 0.202 Pt
0.798 0.312 0.798 Pt
0.798 0.798 0.312 Pt
0.884 0.353 0.353 Pt
0.418 0.418 0.418 Au
0.582 0.582 0.582 Au
```

5.
Material: Pm3DyGe4
Method: DFT, GGA-PBE
State: optimized geometry

Output
crystal system: orthorhombic
formation energy: -0.642 eV/atom
space group: Pmmn (59)
V: 430.1 Å³/cell

The structure in POSCAR format:
```
Pm3DyGe4
1.0
5.980 0.000 0.000
0.000 12.027 0.000
0.000 0.000 5.980
Pm Dy Ge
6 2 8
direct
0.250 0.000 0.250 Pm
0.250 0.250 0.749 Pm
0.250 0.500 0.250 Pm
0.750 0.000 0.750 Pm
0.750 0.500 0.750 Pm
0.750 0.750 0.251 Pm
0.250 0.750 0.751 Dy
0.750 0.250 0.249 Dy
0.250 0.250 0.249 Ge
0.250 0.504 0.750 Ge
0.250 0.750 0.251 Ge
0.250 0.996 0.750 Ge
0.750 0.004 0.250 Ge
0.750 0.250 0.749 Ge
0.750 0.496 0.250 Ge
0.750 0.750 0.751 Ge
```

6.
Material: LaNdSm6Er2
Method: DFT, GGA-PBE
State: optimized geometry

Output
crystal system: monoclinic
formation energy: 0.117 eV/atom
space group: C2/c (15)
V: 682.1 Å³/cell

The structure in POSCAR format:
```
LaNdSm6Er2
1.0
4.672 -7.588 0.000
4.672 7.588 0.000
-1.186 0.000 9.621
La Nd Sm Er
2 2 12 4
direct
0.094 0.906 0.750 La
0.906 0.094 0.250 La
0.466 0.534 0.250 Nd
0.534 0.466 0.750 Nd
0.016 0.795 0.381 Sm
0.063 0.519 0.179 Sm
0.205 0.984 0.119 Sm
0.258 0.609 0.557 Sm
0.391 0.742 0.943 Sm
0.481 0.937 0.321 Sm
0.519 0.063 0.679 Sm
0.609 0.258 0.057 Sm
0.742 0.391 0.443 Sm
0.795 0.016 0.881 Sm
0.937 0.481 0.821 Sm
0.984 0.205 0.619 Sm
0.205 0.302 0.950 Er
0.302 0.205 0.450 Er
0.698 0.795 0.550 Er
0.795 0.698 0.050 Er
```

7.
Material: CaMg2Ag
Method: DFT, GGA-PBE
State: optimized geometry

Output
crystal system: monoclinic
formation energy: -0.103 eV/atom
space group: P2/m (10)
V: 98.0 Å³/cell

The structure in POSCAR format:
```
CaMg2Ag
1.0
4.379 0.000 0.000
0.000 4.613 0.000
-0.019 0.000 4.850
Ca Mg Ag
1 2 1
direct
0.000 0.000 0.000 Ca
0.000 0.500 0.500 Mg
0.500 0.000 0.500 Mg
0.500 0.500 0.000 Ag
```

8.
Material: TaNi2Te3
Method: DFT, GGA-PBE
State: optimized geometry

Output
crystal system: monoclinic
formation energy without anion corrections: -0.360 eV/atom
space group: P2_1/m (11)
V: 292.1 Å³/cell

The structure in POSCAR format:
```
TaNi2Te3
1.0
7.905 0.000 0.000
0.000 3.715 0.000
-3.821 0.000 9.948
Ta Ni Te
2 4 6
direct
0.213 0.250 0.199 Ta
0.787 0.750 0.801 Ta
0.037 0.250 0.935 Ni
0.406 0.750 0.408 Ni
0.594 0.250 0.592 Ni
0.963 0.750 0.065 Ni
0.059 0.750 0.324 Te
0.276 0.750 0.010 Te
0.422 0.750 0.656 Te
0.578 0.250 0.344 Te
0.724 0.250 0.990 Te
0.941 0.250 0.676 Te
```

9.
Material: CuAuCl3
Method: DFT, GGA-PBE
State: optimized geometry

Output
ΔE to the lowest computed polymorph: 0 meV per atom
crystal system: monoclinic
formation energy without anion corrections: -0.265 eV/atom
space group: C2/m (12)
V: 258.6 Å³/cell

The structure in POSCAR format:
```
CuAuCl3
1.0
7.038 -1.764 0.000
7.038 1.764 0.000
-1.216 0.000 10.415
Cu Au Cl
2 2 6
direct
0.147 0.147 0.430 Cu
0.853 0.853 0.570 Cu
0.464 0.464 0.136 Au
0.536 0.536 0.864 Au
0.146 0.146 0.947 Cl
0.340 0.340 0.423 Cl
0.391 0.391 0.723 Cl
0.609 0.609 0.277 Cl
0.660 0.660 0.577 Cl
0.854 0.854 0.053 Cl
```

10.
Material: Hf5BAs2
Method: DFT, GGA-PBE
State: optimized geometry

Output
crystal system: orthorhombic
formation energy: -0.270 eV/atom
space group: Cmcm (63)
V: 360.9 Å³/cell

The structure in POSCAR format:
```
Hf5BAs2
1.0
2.440 -6.396 0.000
2.440 6.396 0.000
0.000 0.000 11.566
Hf B As
10 2 4
direct
0.079 0.921 0.618 Hf
0.079 0.921 0.882 Hf
0.294 0.706 0.250 Hf
0.306 0.694 0.558 Hf
0.306 0.694 0.942 Hf
0.694 0.306 0.058 Hf
0.694 0.306 0.442 Hf
0.706 0.294 0.750 Hf
0.921 0.079 0.118 Hf
0.921 0.079 0.382 Hf
0.210 0.790 0.750 B
0.790 0.210 0.250 B
0.132 0.868 0.103 As
0.132 0.868 0.397 As
0.868 0.132 0.603 As
0.868 0.132 0.897 As
```